## i
Material: Ho2MnAl
Method: DFT, GGA-PBE
State: optimized geometry

a = 7.145 Å, b = 7.145 Å, c = 7.145 Å
α = 90.00°, β = 90.00°, γ = 90.00°
Space group Fm-3m (No. 225)
Unique sites:
Ho: 0.250 0.250 0.250 x8
Mn: 0.000 0.000 0.000 x4
Al: 0.000 0.000 0.500 x4

## Properties
Volume (Å³/atom): 22.80

---

## ii
Material: Ho2MnAl
Method: DFT, GGA-PBE
State: optimized geometry

a = 3.2929 Å, b = 3.2929 Å, c = 31.3249 Å
α = 90.00°, β = 90.00°, γ = 120.00°
Space group R-3m (No. 166, hexagonal axes)
Unique sites:
Ho: 0.0000 0.0000 0.0904 x6
Mn: 0.0000 0.0000 0.0000 x3
Al: 0.0000 0.0000 0.5000 x3

## Properties
Volume (Å³/atom): 24.51

---

Stability summary - winner: i; margin: 498 meV per atom.

---

## i
Material: HoAlMo
Method: DFT, GGA-PBE
State: optimized geometry

a = 6.8651 Å, b = 6.8651 Å, c = 4.6402 Å
α = 90.00°, β = 90.00°, γ = 120.00°
Space group P-62m (No. 189)
Unique sites:
Ho: 0.0000 0.5616 0.0000 x3
Al: 0.0000 0.0000 0.0000 x1
Al: 0.3333 0.6667 0.5000 x2
Mo: 0.0000 0.2108 0.5000 x3

## Properties
Volume (Å³/atom): 21.04

---

## ii
Material: HoAlMo
Method: DFT, GGA-PBE
State: optimized geometry

a = 5.350 Å, b = 5.628 Å, c = 7.877 Å
α = 90.00°, β = 90.00°, γ = 90.00°
Space group Imma (No. 74)
Unique sites:
Ho: 0.000 0.250 0.118 x4
Al: 0.000 0.000 0.500 x4
Mo: 0.250 0.250 0.750 x4

## Properties
Volume (Å³/atom): 19.76

---

Stability summary - winner: ii; margin: 222 meV per atom.

---

## i
Material: HoNbAl2
Method: DFT, GGA-PBE
State: optimized geometry

a = 3.531 Å, b = 3.531 Å, c = 6.345 Å
α = 90.00°, β = 90.00°, γ = 90.00°
Space group P4/mmm (No. 123)
Unique sites:
Ho: 0.000 0.000 0.000 x1
Nb: 0.000 0.000 0.500 x1
Al: 0.500 0.500 0.295 x2

## Properties
Volume (Å³/atom): 19.77

---

## ii
Material: HoNbAl2
Method: DFT, GGA-PBE
State: optimized geometry

a = 3.0757 Å, b = 3.0757 Å, c = 29.5733 Å
α = 90.00°, β = 90.00°, γ = 120.00°
Space group R-3m (No. 166, hexagonal axes)
Unique sites:
Ho: 0.0000 0.0000 0.0000 x3
Nb: 0.0000 0.0000 0.5000 x3
Al: 0.0000 0.0000 0.2426 x6

## Properties
Volume (Å³/atom): 20.19

---

Stability summary - winner: i; margin: 240 meV per atom.

---

## i
Material: Nd2HoAl2
Method: DFT, GGA-PBE
State: optimized geometry

a = 4.929 Å, b = 6.815 Å, c = 8.115 Å
α = 90.00°, β = 90.00°, γ = 90.00°
Space group Immm (No. 71)
Unique sites:
Nd: 0.000 0.000 0.198 x4
Ho: 0.000 0.500 0.000 x2
Al: 0.000 0.302 0.500 x4

## Properties
Volume (Å³/atom): 27.26

---

## ii
Material: Nd2HoAl2
Method: DFT, GGA-PBE
State: optimized geometry

a = 6.296 Å, b = 3.664 Å, c = 12.731 Å
α = 90.00°, β = 96.77°, γ = 90.00°
Space group P2_1/m (No. 11)
Unique sites:
Nd: 0.067 0.250 0.358 x2
Nd: 0.226 0.750 0.927 x2
Ho: 0.465 0.250 0.710 x2
Al: 0.287 0.250 0.128 x2
Al: 0.348 0.750 0.517 x2

## Properties
Volume (Å³/atom): 29.16

---

Stability summary - winner: i; margin: 160 meV per atom.